{
  "formula": "Be2IrF",
  "functional": "GGA-PBE",
  "state": "optimized geometry",
  "lattice_angstrom": [[-2.6203, 2.6203, 3.0765], [2.6203, -2.6203, 3.0765], [2.6203, 2.6203, -3.0765]],
  "species": ["Be", "Be", "Be", "Be", "Ir", "Ir", "F", "F"],
  "fractional_positions": [[0.0457, 0.6250, 0.9207], [0.3750, 0.2957, 0.4207], [0.7043, 0.1250, 0.0793], [0.8750, 0.9543, 0.5793], [0.2500, 0.7500, 0.5000], [0.5000, 0.5000, 0.0000], [0.0000, 0.0000, 0.0000], [0.7500, 0.2500, 0.5000]],
  "magnetic_moment_mub_per_fu": 0.0,
  "formation_energy_uncorrected_ev_per_atom": -0.618,
  "dos_at_fermi_per_ev_cell": 3.32,
  "final_energy_ev_per_atom": -5.165
}